Entry 1:
# LiHg2Pb (meta-GGA SCAN, single point on PBEsol structure)
data_LiHg2Pb
_cell_length_a 3.425
_cell_length_b 4.984
_cell_length_c 5.457
_cell_angle_alpha 90.00
_cell_angle_beta 93.50
_cell_angle_gamma 90.00
_space_group_name_H-M_alt 'P 1 2/m 1'
_space_group_IT_number 10
_space_group_name_Hall '-P 2y'
loop_
_atom_site_label
_atom_site_type_symbol
_atom_site_fract_x
_atom_site_fract_y
_atom_site_fract_z
Li1 Li 0.000 0.000 0.000
Hg1 Hg 0.208 0.500 0.772
Pb1 Pb 0.500 0.000 0.500
# formation energy from the elements	-161	meV/atom
# raw total energy	-53.7870	eV per atom

Entry 2:
# Li2HgPb (meta-GGA SCAN, single point on PBEsol structure)
data_Li2HgPb
_cell_length_a 10.208
_cell_length_b 3.386
_cell_length_c 4.845
_cell_angle_alpha 90.00
_cell_angle_beta 105.62
_cell_angle_gamma 90.00
_space_group_name_H-M_alt 'C 1 m 1'
_space_group_IT_number 8
_space_group_name_Hall 'C -2y'
loop_
_atom_site_label
_atom_site_type_symbol
_atom_site_fract_x
_atom_site_fract_y
_atom_site_fract_z
Li1 Li 0.000 0.000 0.000
Li2 Li 0.240 0.000 0.677
Hg1 Hg 0.010 0.500 0.536
Pb1 Pb 0.252 0.500 0.186
# formation energy from the elements	-367	meV/atom
# raw total energy	-37.5485	eV per atom

Entry 3:
# LiHg2Pb (meta-GGA SCAN, single point on PBEsol structure)
data_LiHg2Pb
_cell_length_a 3.982
_cell_length_b 4.833
_cell_length_c 9.552
_cell_angle_alpha 90.00
_cell_angle_beta 90.00
_cell_angle_gamma 90.00
_space_group_name_H-M_alt 'I m m 2'
_space_group_IT_number 44
_space_group_name_Hall 'I 2 -2'
loop_
_atom_site_label
_atom_site_type_symbol
_atom_site_fract_x
_atom_site_fract_y
_atom_site_fract_z
Li1 Li 0.000 0.000 0.000
Hg1 Hg 0.000 0.000 0.481
Hg2 Hg 0.000 0.500 0.727
Pb1 Pb 0.000 0.500 0.241
# formation energy from the elements	-160	meV/atom
# raw total energy	-53.7861	eV per atom

Entry 4:
# Li2HgPb (meta-GGA SCAN, single point on PBEsol structure)
data_Li2HgPb
_cell_length_a 3.638
_cell_length_b 3.638
_cell_length_c 6.193
_cell_angle_alpha 90.00
_cell_angle_beta 90.00
_cell_angle_gamma 90.00
_space_group_name_H-M_alt 'P 4 m m'
_space_group_IT_number 99
_space_group_name_Hall 'P 4 -2'
loop_
_atom_site_label
_atom_site_type_symbol
_atom_site_fract_x
_atom_site_fract_y
_atom_site_fract_z
Li1 Li 0.000 0.000 0.000
Li2 Li 0.500 0.500 0.265
Hg1 Hg 0.500 0.500 0.820
Pb1 Pb 0.000 0.000 0.503
# formation energy from the elements	-349	meV/atom
# raw total energy	-37.5309	eV per atom

Entry 5:
# LiHg2Pd (meta-GGA SCAN, single point on PBEsol structure)
data_LiHg2Pd
_cell_length_a 6.490
_cell_length_b 6.490
_cell_length_c 6.490
_cell_angle_alpha 90.00
_cell_angle_beta 90.00
_cell_angle_gamma 90.00
_space_group_name_H-M_alt 'F m -3 m'
_space_group_IT_number 225
_space_group_name_Hall '-F 4 2 3'
loop_
_atom_site_label
_atom_site_type_symbol
_atom_site_fract_x
_atom_site_fract_y
_atom_site_fract_z
Li1 Li 0.000 0.000 0.000
Hg1 Hg 0.250 0.250 0.250
Pd1 Pd 0.000 0.000 0.500
# formation energy from the elements	-355	meV/atom
# raw total energy	-43.2289	eV per atom

Entry 6:
# LiHg3Pd (meta-GGA SCAN, single point on PBEsol structure)
data_LiHg3Pd
_cell_length_a 4.657
_cell_length_b 4.657
_cell_length_c 4.657
_cell_angle_alpha 90.00
_cell_angle_beta 90.00
_cell_angle_gamma 90.00
_space_group_name_H-M_alt 'P m -3 m'
_space_group_IT_number 221
_space_group_name_Hall '-P 4 2 3'
loop_
_atom_site_label
_atom_site_type_symbol
_atom_site_fract_x
_atom_site_fract_y
_atom_site_fract_z
Li1 Li 0.000 0.000 0.000
Hg1 Hg 0.000 0.000 0.500
Pd1 Pd 0.500 0.500 0.500
# formation energy from the elements	304	meV/atom
# raw total energy	-47.6279	eV per atom

Entry 7:
# LiHg2Pd2 (meta-GGA SCAN, single point on PBEsol structure)
data_LiHg2Pd2
_cell_length_a 7.822
_cell_length_b 7.822
_cell_length_c 3.013
_cell_angle_alpha 90.00
_cell_angle_beta 90.00
_cell_angle_gamma 90.00
_space_group_name_H-M_alt 'P 4/m b m'
_space_group_IT_number 127
_space_group_name_Hall '-P 4 2ab'
loop_
_atom_site_label
_atom_site_type_symbol
_atom_site_fract_x
_atom_site_fract_y
_atom_site_fract_z
Li1 Li 0.000 0.000 0.000
Hg1 Hg 0.167 0.333 0.000
Pd1 Pd 0.130 0.630 0.500
# formation energy from the elements	-249	meV/atom
# raw total energy	-41.1032	eV per atom

Entry 8:
# LiPrHg2 (meta-GGA SCAN, single point on PBEsol structure)
data_LiPrHg2
_cell_length_a 7.190
_cell_length_b 7.190
_cell_length_c 7.190
_cell_angle_alpha 90.00
_cell_angle_beta 90.00
_cell_angle_gamma 90.00
_space_group_name_H-M_alt 'F m -3 m'
_space_group_IT_number 225
_space_group_name_Hall '-F 4 2 3'
loop_
_atom_site_label
_atom_site_type_symbol
_atom_site_fract_x
_atom_site_fract_y
_atom_site_fract_z
Li1 Li 0.000 0.000 0.000
Pr1 Pr 0.000 0.000 0.500
Hg1 Hg 0.250 0.250 0.250
# formation energy from the elements	-619	meV/atom
# raw total energy	-46.1311	eV per atom

Entry 9:
# LiHgPt (meta-GGA SCAN, single point on PBEsol structure)
data_LiHgPt
_cell_length_a 2.876
_cell_length_b 3.937
_cell_length_c 8.475
_cell_angle_alpha 90.00
_cell_angle_beta 90.00
_cell_angle_gamma 90.00
_space_group_name_H-M_alt 'I m m 2'
_space_group_IT_number 44
_space_group_name_Hall 'I 2 -2'
loop_
_atom_site_label
_atom_site_type_symbol
_atom_site_fract_x
_atom_site_fract_y
_atom_site_fract_z
Li1 Li 0.000 0.000 0.000
Hg1 Hg 0.000 0.000 0.675
Pt1 Pt 0.000 0.000 0.348
# formation energy from the elements	-367	meV/atom
# raw total energy	-47.2832	eV per atom

Entry 10:
# LiHg3Pt (meta-GGA SCAN, single point on PBEsol structure)
data_LiHg3Pt
_cell_length_a 5.206
_cell_length_b 5.206
_cell_length_c 5.206
_cell_angle_alpha 90.00
_cell_angle_beta 90.00
_cell_angle_gamma 90.00
_space_group_name_H-M_alt 'P m -3 m'
_space_group_IT_number 221
_space_group_name_Hall '-P 4 2 3'
loop_
_atom_site_label
_atom_site_type_symbol
_atom_site_fract_x
_atom_site_fract_y
_atom_site_fract_z
Li1 Li 0.000 0.000 0.000
Hg1 Hg 0.000 0.500 0.500
Pt1 Pt 0.500 0.500 0.500
# formation energy from the elements	-58	meV/atom
# raw total energy	-55.4738	eV per atom

Entry 11:
# LiHg2Pt2 (meta-GGA SCAN, single point on PBEsol structure)
data_LiHg2Pt2
_cell_length_a 3.814
_cell_length_b 3.814
_cell_length_c 13.414
_cell_angle_alpha 90.00
_cell_angle_beta 90.00
_cell_angle_gamma 90.00
_space_group_name_H-M_alt 'I 4/m m m'
_space_group_IT_number 139
_space_group_name_Hall '-I 4 2'
loop_
_atom_site_label
_atom_site_type_symbol
_atom_site_fract_x
_atom_site_fract_y
_atom_site_fract_z
Li1 Li 0.000 0.000 0.000
Hg1 Hg 0.000 0.000 0.399
Pt1 Pt 0.000 0.500 0.250
# formation energy from the elements	-106	meV/atom
# raw total energy	-55.9274	eV per atom

Entry 12:
# LiHgPt (meta-GGA SCAN, single point on PBEsol structure)
data_LiHgPt
_cell_length_a 4.3774
_cell_length_b 4.3774
_cell_length_c 2.8519
_cell_angle_alpha 90.00
_cell_angle_beta 90.00
_cell_angle_gamma 120.00
_space_group_name_H-M_alt 'P 3 m 1'
_space_group_IT_number 156
_space_group_name_Hall 'P 3 -2"'
loop_
_atom_site_label
_atom_site_type_symbol
_atom_site_fract_x
_atom_site_fract_y
_atom_site_fract_z
Li1 Li 0.0000 0.0000 0.0000
Hg1 Hg 0.6667 0.3333 0.3133
Pt1 Pt 0.3333 0.6667 0.7695
# formation energy from the elements	-346	meV/atom
# raw total energy	-47.2627	eV per atom

Entry 13:
# LiHg2Pt (meta-GGA SCAN, single point on PBEsol structure)
data_LiHg2Pt
_cell_length_a 2.951
_cell_length_b 4.139
_cell_length_c 5.716
_cell_angle_alpha 90.00
_cell_angle_beta 90.00
_cell_angle_gamma 90.00
_space_group_name_H-M_alt 'P m m 2'
_space_group_IT_number 25
_space_group_name_Hall 'P 2 -2'
loop_
_atom_site_label
_atom_site_type_symbol
_atom_site_fract_x
_atom_site_fract_y
_atom_site_fract_z
Li1 Li 0.000 0.000 0.000
Hg1 Hg 0.000 0.000 0.457
Hg2 Hg 0.500 0.500 0.752
Pt1 Pt 0.500 0.500 0.229
# formation energy from the elements	-216	meV/atom
# raw total energy	-52.4451	eV per atom

Entry 14:
# LiHg2Pt (meta-GGA SCAN, single point on PBEsol structure)
data_LiHg2Pt
_cell_length_a 3.956
_cell_length_b 3.956
_cell_length_c 8.721
_cell_angle_alpha 90.00
_cell_angle_beta 90.00
_cell_angle_gamma 90.00
_space_group_name_H-M_alt 'I -4 m 2'
_space_group_IT_number 119
_space_group_name_Hall 'I -4 -2'
loop_
_atom_site_label
_atom_site_type_symbol
_atom_site_fract_x
_atom_site_fract_y
_atom_site_fract_z
Li1 Li 0.000 0.000 0.000
Hg1 Hg 0.000 0.000 0.500
Hg2 Hg 0.000 0.500 0.750
Pt1 Pt 0.000 0.500 0.250
# formation energy from the elements	-246	meV/atom
# raw total energy	-52.4751	eV per atom

Entry 15:
# LiHg2Pt (meta-GGA SCAN, single point on PBEsol structure)
data_LiHg2Pt
_cell_length_a 6.507
_cell_length_b 6.507
_cell_length_c 6.507
_cell_angle_alpha 90.00
_cell_angle_beta 90.00
_cell_angle_gamma 90.00
_space_group_name_H-M_alt 'F m -3 m'
_space_group_IT_number 225
_space_group_name_Hall '-F 4 2 3'
loop_
_atom_site_label
_atom_site_type_symbol
_atom_site_fract_x
_atom_site_fract_y
_atom_site_fract_z
Li1 Li 0.000 0.000 0.000
Hg1 Hg 0.250 0.250 0.250
Pt1 Pt 0.000 0.000 0.500
# formation energy from the elements	-295	meV/atom
# raw total energy	-52.5237	eV per atom